The following is a DFT calculation (SCAN) of a crystal of AsOsPtBr2 relaxed with PBEsol.

Results
Fermi-level density of states	1.05	states/eV/atom
theoretical density	9.03	g/cm3
total moment	0.00	μB/f.u.
ΔE_f (raw)	1.2400	eV per atom

The structure in POSCAR format:
```
AsOsPtBr2
1.0
4.9669 0.0000 0.0000
0.0000 4.9669 0.0000
0.0000 0.0000 4.6238
As Os Pt Br
1 1 1 2
Cartesian
0.0000 0.0000 0.0000 As
0.0000 0.0000 2.3119 Os
2.4835 2.4835 0.0000 Pt
0.0000 2.4835 2.3119 Br
2.4835 0.0000 2.3119 Br
```